# 1
The following is a DFT calculation (PBE-GGA) of a geometry-optimized ZrHgPb2 structure.

a b c (Å): 5.320 5.320 5.320
angles (deg): 60.00 60.00 60.00
Positions (direct):
Zr  0.000  0.000  0.000
Hg  0.250  0.250  0.250
Pb  0.500  0.500  0.500
Pb  0.750  0.750  0.750

N(E_F) (states/eV/cell): 3.8
Magnetization (μB per formula unit): 0.47
ΔH_f (0 K) (eV per atom): 0.233

# 2
The following is a DFT calculation (PBE-GGA) of a geometry-optimized Cr2NiAu structure.

a b c (Å): 4.740 4.740 4.740
angles (deg): 135.32 135.32 65.03
Positions (direct):
Cr  0.250  0.750  0.500
Cr  0.750  0.250  0.500
Ni  0.000  0.000  0.000
Au  0.500  0.500  0.000

N(E_F) (states/eV/cell): 5.8
Energy relative to the lowest polymorph listed for this composition (kJ/mol of atoms): 13.38
Magnetization (μB per formula unit): 1.38
ΔH_f (0 K) (eV per atom): 0.279

- Which value of magnetization does entry 1 give?
  0.47 μB per formula unit